(1)
# TcAsIr2

An optimized crystal structure of TcAsIr2 (GGA-PBE, Alexandria).

It has space group Pm (No. 6), with a = 2.834 Å, b = 3.949 Å, c = 5.491 Å, α = 90.00°, β = 104.91° and γ = 90.00°. The inequivalent atoms are Tc at (0.000, 0.000, 0.000), As at (0.605, 0.500, 0.216), Ir at (0.377, 0.500, 0.753) and Ir at (0.746, 0.000, 0.493).

***

(2)
# Tc2AsIr

An optimized crystal structure of Tc2AsIr (GGA-PBE, Alexandria).

It has space group P2/m (No. 10), with a = 2.815 Å, b = 4.019 Å, c = 5.370 Å, α = 90.00°, β = 103.64° and γ = 90.00°. The inequivalent atoms are Tc at (0.124, 0.000, 0.256), As at (0.500, 0.500, 0.500) and Ir at (0.500, 0.500, 0.000).

***

(3)
# Tc2AsIr

An optimized crystal structure of Tc2AsIr (GGA-PBE, Alexandria).

It has space group Imm2 (No. 44), with a = 2.953 Å, b = 4.424 Å, c = 8.932 Å, α = 90.00°, β = 90.00° and γ = 90.00°. The inequivalent atoms are Tc at (0.000, 0.000, 0.000), Tc at (0.000, 0.500, 0.229), As at (0.000, 0.500, 0.725) and Ir at (0.000, 0.000, 0.448).

***

(4)
# TcAsIr

An optimized crystal structure of TcAsIr (GGA-PBE, Alexandria).

It has space group P3m1 (No. 156), with a = 2.9202 Å, b = 2.9202 Å, c = 6.3481 Å, α = 90.00°, β = 90.00° and γ = 120.00°. The inequivalent atoms are Tc at (0.0000, 0.0000, 0.0000), As at (0.3333, 0.6667, 0.7158) and Ir at (0.3333, 0.6667, 0.3295).

As for the energy above the most stable polymorph in this dataset: 7.6 kJ per mole of atoms.

***

(5)
# TcAsIr2

An optimized crystal structure of TcAsIr2 (GGA-PBE, Alexandria).

It has space group Cmm2 (No. 35), with a = 2.794 Å, b = 4.835 Å, c = 9.053 Å, α = 90.00°, β = 90.00° and γ = 90.00°. The inequivalent atoms are Tc at (0.000, 0.000, 0.000), As at (0.000, 0.500, 0.750), Ir at (0.000, 0.000, 0.510) and Ir at (0.000, 0.500, 0.245).

***

(6)
# TcAsIr2

An optimized crystal structure of TcAsIr2 (GGA-PBE, Alexandria).

It has space group Pmm2 (No. 25), with a = 2.815 Å, b = 3.703 Å, c = 5.780 Å, α = 90.00°, β = 90.00° and γ = 90.00°. The inequivalent atoms are Tc at (0.000, 0.000, 0.000), As at (0.500, 0.500, 0.292), Ir at (0.000, 0.000, 0.515) and Ir at (0.500, 0.500, 0.785).

***

(7)
# Tc2AsIr

An optimized crystal structure of Tc2AsIr (GGA-PBE, Alexandria).

It has space group Cmm2 (No. 35), with a = 2.840 Å, b = 4.755 Å, c = 9.105 Å, α = 90.00°, β = 90.00° and γ = 90.00°. The inequivalent atoms are Tc at (0.000, 0.000, 0.000), Tc at (0.000, 0.500, 0.238), As at (0.000, 0.000, 0.496) and Ir at (0.000, 0.500, 0.747).

***

(8)
# TcAsIr

An optimized crystal structure of TcAsIr (GGA-PBE, Alexandria).

It has space group I4mm (No. 107), with a = 2.982 Å, b = 2.982 Å, c = 9.930 Å, α = 90.00°, β = 90.00° and γ = 90.00°. The inequivalent atoms are Tc at (0.000, 0.000, 0.000), As at (0.000, 0.000, 0.354) and Ir at (0.000, 0.000, 0.689).

As for the energy above the most stable polymorph in this dataset: 21.3 kJ per mole of atoms.

***

| no. | formation enthalpy at 0 K (meV/atom) |
| --- | --- |
| 1 | 16 |
| 2 | 29 |
| 3 | 5 |
| 4 | -32 |
| 5 | 431 |
| 6 | 172 |
| 7 | 395 |
| 8 | 110 |